VASP calculation (PBE) on a relaxed structure of CsScTiSe4.

Structure (POSCAR):
```
CsScTiSe4
1.0
6.634 0.000 -0.310
0.000 7.125 0.000
-3.009 0.000 9.477
Cs Sc Ti Se
2 2 2 8
Direct
0.748 0.750 0.949
0.252 0.250 0.051
0.799 0.750 0.458
0.201 0.250 0.542
0.243 0.750 0.350
0.757 0.250 0.650
0.017 0.503 0.682
0.983 0.003 0.318
0.983 0.497 0.318
0.017 0.997 0.682
0.448 0.750 0.196
0.552 0.250 0.804
0.491 0.750 0.581
0.509 0.250 0.419
```

The symmetry is P2_1/m (11). The crystal system is monoclinic. Its formation energy without anion corrections is -9.38 eV per formula unit. The calculation puts the total magnetization at 0.000 μB/f.u.